Entry 1:
Below is In2TeIr at its PBEsol-relaxed geometry, with properties calculated at the SCAN level.

Calculated values
The calculation puts the raw formation energy at 0.1133 eV per atom. The volume is 21.4 Å³ per atom. The magnetic moment is 0.000 μB per cell. Its space-group type is P4/mmm (123).

Lattice parameters (Å, degrees): 3.1366 3.1366 8.6943 90.00 90.00 90.00
Closest atoms and distances in Å follow each position.
Positions (direct):
In  0.0000  0.0000  0.1958  4 Ir 2.80
In  0.0000  0.0000  0.8042  4 Ir 2.80
Te  0.5000  0.5000  0.5000  4 Te 3.14, 8 In 3.45
Ir  0.5000  0.5000  0.0000  8 In 2.80


Entry 2:
Below is MgZn2AuC at its PBEsol-relaxed geometry, with properties calculated at the SCAN level.

Calculated values
As for the energy of formation: 5.96 eV per formula unit. The volume is 22.9 Å³ per atom. The magnetic moment is 1.973 μB per cell. Its space-group type is P4/mmm (123).

Lattice parameters (Å, degrees): 4.7534 4.7534 5.0751 90.00 90.00 90.00
Closest atoms and distances in Å follow each position.
Positions (direct):
Mg  0.0000  0.0000  0.0000  2 Au 2.54
Zn  0.0000  0.5000  0.5000  2 Au 2.38
Zn  0.5000  0.0000  0.5000  2 Au 2.38
Au  0.0000  0.0000  0.5000  4 Zn 2.38, 2 Mg 2.54
C  0.5000  0.5000  0.0000  4 Mg 3.36, 8 Zn 3.48


Entry 3:
Below is Ca4MgP at its PBEsol-relaxed geometry, with properties calculated at the SCAN level.

Calculated values
As for the energy of formation: 2.66 eV per formula unit. The volume is 31.8 Å³ per atom. The magnetic moment is 1.482 μB per cell. Its space-group type is F-43m (216).

Lattice parameters (Å, degrees): 6.4649 6.4649 6.4649 60.00 60.00 60.00
Closest atoms and distances in Å follow each position.
Positions (direct):
Ca  0.3759  0.3759  0.3759  6 Ca 3.21-3.25
Ca  0.3759  0.3759  0.8724  6 Ca 3.21-3.25
Ca  0.3759  0.8724  0.3759  6 Ca 3.21-3.25
Ca  0.8724  0.3759  0.3759  6 Ca 3.21-3.25
Mg  0.0000  0.0000  0.0000  12 Ca 3.79, 4 P 3.96
P  0.7500  0.7500  0.7500  12 Ca 3.79, 4 Mg 3.96


Entry 4:
Below is TlCdPb at its PBEsol-relaxed geometry, with properties calculated at the SCAN level.

Calculated values
As for the energy of formation: 0.19 eV per formula unit. The volume is 26.7 Å³ per atom. The magnetic moment is 0.000 μB per cell. Its space-group type is Fmm2 (42).

Lattice parameters (Å, degrees): 3.5658 5.6272 15.9951 90.00 90.00 90.00
Closest atoms and distances in Å follow each position.
Positions (direct):
Tl  0.0000  0.0000  0.0000  2 Cd 3.09, 4 Tl 3.33, 2 Pb 3.40
Tl  0.0000  0.5000  0.5000  2 Cd 3.09, 4 Tl 3.33, 2 Pb 3.40
Tl  0.5000  0.0000  0.5000  2 Cd 3.09, 4 Tl 3.33, 2 Pb 3.40
Tl  0.5000  0.5000  0.0000  2 Cd 3.09, 4 Tl 3.33, 2 Pb 3.40
Cd  0.0000  0.0000  0.6577  2 Tl 3.09, 2 Pb 3.13, 4 Cd 3.33
Cd  0.0000  0.5000  0.1577  2 Tl 3.09, 2 Pb 3.13, 4 Cd 3.33
Cd  0.5000  0.0000  0.1577  2 Tl 3.09, 2 Pb 3.13, 4 Cd 3.33
Cd  0.5000  0.5000  0.6577  2 Tl 3.09, 2 Pb 3.13, 4 Cd 3.33
Pb  0.0000  0.0000  0.3189  2 Cd 3.13, 4 Pb 3.33, 2 Tl 3.40
Pb  0.0000  0.5000  0.8189  2 Cd 3.13, 4 Pb 3.33, 2 Tl 3.40
Pb  0.5000  0.0000  0.8189  2 Cd 3.13, 4 Pb 3.33, 2 Tl 3.40
Pb  0.5000  0.5000  0.3189  2 Cd 3.13, 4 Pb 3.33, 2 Tl 3.40


Number 4 is which compound?
TlCdPb